Below is a geometry-optimized Y3Mg2Cu structure, with properties calculated at the PBE-GGA level.

Computed properties:
For the energy of formation from the pure elements, the calculation gives 37 kJ/mol of formula units. As for the distance to the lowest polymorph of the same formula: 87 meV per atom. Its calculated total energy is -4.382 eV/atom.

abc: 5.717 5.717 5.717
angles: 72.75 72.75 72.75
Atoms (fractional coordinates):
1 Y 0.000 0.500 0.500
2 Y 0.500 0.000 0.500
3 Y 0.500 0.500 0.000
4 Mg 0.116 0.116 0.116
5 Mg 0.884 0.884 0.884
6 Cu 0.500 0.500 0.500